! UAl2Rh (PBE, relaxed); values from VASP
&SYSTEM
  ibrav = 0, nat = 4, ntyp = 3
/
ATOMIC_SPECIES
Al 26.98 Al.upf
Rh 102.91 Rh.upf
U 238.03 U.upf
ATOMIC_POSITIONS angstrom
Al -2.8133 -3.0993 4.5222
Al -0.6998 -0.7710 1.1250
Rh -1.8371 0.7240 -0.6467
U -3.5936 -1.2112 2.1769
CELL_PARAMETERS angstrom
-1.6311 2.3674 0.6078
-2.0431 -0.9195 -1.9012
-3.5131 -3.8702 5.6471
! M_tot ... 0.47 μB per atom
! Formation energy from the elements ... -0.557 eV/atom
! SG ... P4/mmm

***

! GaSe2Cl (PBE, relaxed); values from VASP
&SYSTEM
  ibrav = 0, nat = 8, ntyp = 3
/
ATOMIC_SPECIES
Ga 69.72 Ga.upf
Se 78.96 Se.upf
Cl 35.45 Cl.upf
ATOMIC_POSITIONS angstrom
Ga 6.7579 3.3789 2.4442
Ga 0.0000 0.0000 0.0000
Se 1.3096 5.0684 1.2221
Se 5.4483 1.6895 1.2221
Se 8.4474 8.8272 3.6663
Se 5.0684 4.6886 3.6663
Cl 3.3789 3.3789 0.0000
Cl 3.3789 6.7579 2.4442
CELL_PARAMETERS angstrom
6.7579 0.0000 0.0000
0.0000 6.7579 0.0000
3.3789 3.3789 4.8884
! M_tot ... 0.00 μB per atom
! Formation energy from raw total energies ... -0.033 eV/atom
! SG ... I-42d
! Relative energy among the computed polymorphs ... 0.235 eV per atom

***

! BeSi2Ir (PBE, relaxed); values from VASP
&SYSTEM
  ibrav = 0, nat = 4, ntyp = 3
/
ATOMIC_SPECIES
Si 28.09 Si.upf
Ir 192.22 Ir.upf
Be 9.01 Be.upf
ATOMIC_POSITIONS angstrom
Si 0.0071 0.0087 0.0130
Si 1.4027 1.7321 2.5876
Ir 2.0661 1.0103 4.9989
Be 0.6564 -0.7306 2.3983
CELL_PARAMETERS angstrom
-1.8184 -1.1133 1.7310
1.7214 -2.0887 0.4651
2.8194 3.4817 5.2012
! M_tot ... 0.00 μB per atom
! Formation energy from raw total energies ... 0.090 eV/atom
! SG ... P4/mmm